(1)
Material: Mg2Nb2Se
Method: DFT, PBE-GGA
State: relaxed

POSCAR file:
```
Mg2Nb2Se
1.0
3.6298 0.0000 0.0000
0.0000 3.6298 0.0000
0.0000 0.0000 17.0165
Mg Nb Se
4 4 2
direct
0.0000 0.0000 0.0923
0.0000 0.0000 0.9077
0.5000 0.5000 0.4077
0.5000 0.5000 0.5923
0.0000 0.5000 0.2500
0.0000 0.5000 0.7500
0.5000 0.0000 0.2500
0.5000 0.0000 0.7500
0.0000 0.0000 0.5000
0.5000 0.5000 0.0000
```

Computed properties:
formation energy without anion corrections: 0.167 eV per atom
excess energy over the best structure of this formula in the dataset: 0.2096 eV/atom



(2)
Material: Ba2HAu
Method: DFT, PBE-GGA
State: relaxed

POSCAR file:
```
Ba2HAu
1.0
7.8325 0.0000 0.0000
0.0000 7.8325 0.0000
0.0000 0.0000 7.8325
Ba H Au
8 4 4
direct
0.2500 0.2500 0.2500
0.2500 0.2500 0.7500
0.2500 0.7500 0.2500
0.2500 0.7500 0.7500
0.7500 0.2500 0.2500
0.7500 0.2500 0.7500
0.7500 0.7500 0.2500
0.7500 0.7500 0.7500
0.0000 0.0000 0.0000
0.0000 0.5000 0.5000
0.5000 0.0000 0.5000
0.5000 0.5000 0.0000
0.0000 0.0000 0.5000
0.0000 0.5000 0.0000
0.5000 0.0000 0.0000
0.5000 0.5000 0.5000
```

Computed properties:
excess energy over the best structure of this formula in the dataset: 0.2110 eV/atom



(3)
Material: BaMg14Ga
Method: DFT, PBE-GGA
State: relaxed

POSCAR file:
```
BaMg14Ga
1.0
6.6484 0.0000 0.0000
-3.3242 5.7577 0.0000
0.0000 0.0000 10.3657
Ba Mg Ga
1 14 1
direct
0.0000 0.0000 0.0000
0.0165 0.5082 0.0000
0.1696 0.3392 0.2713
0.1696 0.3392 0.7287
0.1696 0.8304 0.2713
0.1696 0.8304 0.7287
0.4918 0.5082 0.0000
0.4918 0.9835 0.0000
0.5074 0.0148 0.5000
0.5074 0.4926 0.5000
0.6608 0.8304 0.2713
0.6608 0.8304 0.7287
0.6667 0.3333 0.2416
0.6667 0.3333 0.7584
0.9852 0.4926 0.5000
0.0000 0.0000 0.5000
```

Computed properties:
DFT formation energy: 0.065 eV/atom
excess energy over the best structure of this formula in the dataset: 0.0272 eV/atom



(4)
Material: Hf2BeS
Method: DFT, PBE-GGA
State: relaxed

POSCAR file:
```
Hf2BeS
1.0
3.3686 0.0000 0.0000
-1.6843 2.9173 0.0000
0.0000 0.0000 20.4547
Hf Be S
6 3 3
direct
0.0000 0.0000 0.0000
0.0000 0.0000 0.1728
0.3333 0.6667 0.6667
0.3333 0.6667 0.8395
0.6667 0.3333 0.3333
0.6667 0.3333 0.5061
0.0000 0.0000 0.5848
0.3333 0.6667 0.2515
0.6667 0.3333 0.9182
0.0000 0.0000 0.7540
0.3333 0.6667 0.4206
0.6667 0.3333 0.0873
```

Computed properties:
formation energy without anion corrections: -0.669 eV per atom
excess energy over the best structure of this formula in the dataset: 0.0000 eV/atom



(5)
Material: PaSi4Os4
Method: DFT, PBE-GGA
State: relaxed

POSCAR file:
```
PaSi4Os4
1.0
5.9063 0.0000 0.0000
0.0000 5.9063 0.0000
0.0000 0.0000 8.1369
Pa Si Os
2 8 8
direct
0.2500 0.7500 0.2500
0.7500 0.2500 0.7500
0.0485 0.2500 0.0656
0.2500 0.0485 0.5656
0.2500 0.4515 0.5656
0.4515 0.2500 0.0656
0.5485 0.7500 0.9344
0.7500 0.5485 0.4344
0.7500 0.9515 0.4344
0.9515 0.7500 0.9344
0.0136 0.2500 0.3637
0.2500 0.0136 0.8637
0.2500 0.4864 0.8637
0.4864 0.2500 0.3637
0.5136 0.7500 0.6363
0.7500 0.5136 0.1363
0.7500 0.9864 0.1363
0.9864 0.7500 0.6363
```

Computed properties:
formation energy without anion corrections: -0.295 eV per atom



(6)
Material: RbZr2IrO8
Method: DFT, PBE-GGA
State: relaxed

POSCAR file:
```
RbZr2IrO8
1.0
5.3318 0.0000 0.0000
1.4341 5.1364 0.0000
1.3825 1.0487 7.2414
Rb Zr Ir O
1 2 1 8
direct
0.0000 0.0000 0.0000
0.4521 0.4519 0.2204
0.5479 0.5481 0.7796
0.0000 0.0000 0.5000
0.2041 0.7719 0.3228
0.2248 0.2230 0.4203
0.2271 0.7950 0.6775
0.3473 0.3471 0.0056
0.6527 0.6529 0.9944
0.7729 0.2050 0.3225
0.7752 0.7770 0.5797
0.7959 0.2281 0.6772
```

Computed properties:
formation energy without anion corrections: -1.893 eV per atom



(7)
Material: Mn4V2Ru
Method: DFT, PBE-GGA
State: relaxed

POSCAR file:
```
Mn4V2Ru
1.0
4.4004 0.0000 0.0000
0.0000 4.4004 0.0000
0.0000 0.0000 12.8387
Mn V Ru
8 4 2
direct
0.0000 0.0000 0.1987
0.0000 0.0000 0.8013
0.0000 0.5000 0.0000
0.0000 0.5000 0.5000
0.5000 0.0000 0.0000
0.5000 0.0000 0.5000
0.5000 0.5000 0.3013
0.5000 0.5000 0.6987
0.0000 0.0000 0.3922
0.0000 0.0000 0.6078
0.5000 0.5000 0.1078
0.5000 0.5000 0.8922
0.0000 0.0000 0.0000
0.5000 0.5000 0.5000
```

Computed properties:
DFT formation energy: 1.037 eV/atom



(8)
Material: Np3Si4Ir2
Method: DFT, PBE-GGA
State: relaxed

POSCAR file:
```
Np3Si4Ir2
1.0
5.2744 -2.0648 0.0000
5.2744 2.0648 0.0000
-3.9856 0.0000 7.3471
Np Si Ir
3 4 2
direct
0.0000 0.0000 0.0000
0.3979 0.3979 0.3538
0.6021 0.6021 0.6462
0.1135 0.1135 0.4077
0.2672 0.2672 0.9424
0.7328 0.7328 0.0576
0.8865 0.8865 0.5923
0.3365 0.3365 0.7088
0.6635 0.6635 0.2912
```

Computed properties:
formation energy without anion corrections: -0.480 eV per atom



(9)
Material: MgRe2Te
Method: DFT, PBE-GGA
State: relaxed

POSCAR file:
```
MgRe2Te
1.0
3.0800 0.0000 0.0000
0.0000 3.0656 0.0000
-1.5294 0.0000 8.5457
Mg Re Te
1 2 1
direct
0.0000 0.0000 0.0000
0.3913 0.5000 0.7820
0.8094 0.0000 0.6172
0.6710 0.5000 0.3389
```

Computed properties:
formation energy without anion corrections: 0.212 eV per atom
excess energy over the best structure of this formula in the dataset: 0.0000 eV/atom



(10)
Material: LiZn2H2
Method: DFT, PBE-GGA
State: relaxed

POSCAR file:
```
LiZn2H2
1.0
3.6707 0.0000 0.0000
0.0000 3.6707 0.0000
0.0000 0.0000 8.1337
Li Zn H
2 4 4
direct
0.0000 0.0000 0.0000
0.5000 0.5000 0.5000
0.0000 0.0000 0.3461
0.0000 0.0000 0.6539
0.5000 0.5000 0.1539
0.5000 0.5000 0.8461
0.0000 0.5000 0.2500
0.0000 0.5000 0.7500
0.5000 0.0000 0.2500
0.5000 0.0000 0.7500
```

Computed properties:
excess energy over the best structure of this formula in the dataset: 0.1503 eV/atom



(11)
Material: Tb2LuAl
Method: DFT, PBE-GGA
State: relaxed

POSCAR file:
```
Tb2LuAl
1.0
7.5251 0.0000 0.0000
0.0000 7.5251 0.0000
0.0000 0.0000 7.5251
Tb Lu Al
8 4 4
direct
0.2500 0.2500 0.2500
0.2500 0.2500 0.7500
0.2500 0.7500 0.2500
0.2500 0.7500 0.7500
0.7500 0.2500 0.2500
0.7500 0.2500 0.7500
0.7500 0.7500 0.2500
0.7500 0.7500 0.7500
0.0000 0.0000 0.0000
0.0000 0.5000 0.5000
0.5000 0.0000 0.5000
0.5000 0.5000 0.0000
0.0000 0.0000 0.5000
0.0000 0.5000 0.0000
0.5000 0.0000 0.0000
0.5000 0.5000 0.5000
```

Computed properties:
DFT formation energy: -0.082 eV/atom
excess energy over the best structure of this formula in the dataset: 0.1062 eV/atom



(12)
Material: TmZn4Ni4
Method: DFT, PBE-GGA
State: relaxed

POSCAR file:
```
TmZn4Ni4
1.0
-3.9112 3.9112 2.1145
3.9112 -3.9112 2.1145
3.9112 3.9112 -2.1145
Tm Zn Ni
1 4 4
direct
0.0000 0.0000 0.0000
0.0815 0.6345 0.7160
0.3655 0.0815 0.4470
0.6345 0.9185 0.5530
0.9185 0.3655 0.2840
0.2841 0.3751 0.6592
0.3751 0.7159 0.0910
0.6249 0.2841 0.9090
0.7159 0.6249 0.3408
```

Computed properties:
DFT formation energy: -0.145 eV/atom



Result set for M_tot: 0.00 0.00 0.00 0.00 0.01 1.67 13.52 1.14 0.00 0.00 0.00 0.00 Bohr magnetons per cell, one per record in the order listed.